# 1
Here is crystalline NaPm2Dy3Se6 at its relaxed geometry from Alexandria via LeMat-Bulk. Energies are from PBE-GGA.

Lattice parameters (Å, degrees): 9.2804 9.2804 8.3296 103.34 103.34 25.60
Last column: nearest neighbours and their distance in Å.
Sites, in units of the cell vectors:
Na (0.0000, 0.0000, 0.0000)  6 Se 2.96
Pm (0.3295, 0.3295, 0.6568)  6 Se 2.94-3.02
Pm (0.6705, 0.6705, 0.3432)  6 Se 2.94-3.02
Dy (0.0000, 0.0000, 0.5000)  6 Se 2.85-2.90
Dy (0.3340, 0.3340, 0.1727)  6 Se 2.84-2.92
Dy (0.6660, 0.6660, 0.8273)  6 Se 2.84-2.92
Se (0.1621, 0.1621, 0.5901)  3 Dy 2.84-2.85, 3 Pm 2.94-2.95
Se (0.1682, 0.1682, 0.0763)  3 Dy 2.91-2.92, 1 Na 2.96, 2 Pm 3.02
Se (0.4991, 0.4991, 0.2547)  3 Dy 2.90, 2 Na 2.96, 1 Pm 3.01
Se (0.5009, 0.5009, 0.7453)  3 Dy 2.90, 2 Na 2.96, 1 Pm 3.01
Se (0.8318, 0.8318, 0.9237)  3 Dy 2.91-2.92, 1 Na 2.96, 2 Pm 3.02
Se (0.8379, 0.8379, 0.4099)  3 Dy 2.84-2.85, 3 Pm 2.94-2.95

Results
The calculation puts the total energy at -5.568 eV/atom. The density of states at the Fermi level comes out at 3.53 states/eV per cell. Its energy relative to the elements, uncorrected is -171.1 kJ per mole of atoms.


# 2
Here is crystalline SiPC at its relaxed geometry from Alexandria via LeMat-Bulk. Energies are from PBE-GGA.

Lattice parameters (Å, degrees): 2.8299 2.5783 5.7990 90.00 104.08 90.00
Last column: nearest neighbours and their distance in Å.
Sites, in units of the cell vectors:
Si (0.0000, 0.0000, 0.0000)  1 C 1.91
P (0.7644, 0.0000, 0.5248)  2 C 1.76
C (0.1719, 0.0000, 0.3398)  2 P 1.76, 1 Si 1.91

Results
The calculation puts the total energy at -5.995 eV/atom. The density of states at the Fermi level comes out at 0.52 states/eV per cell. Its energy relative to the elements, uncorrected is 66.7 kJ per mole of atoms.


# 3
Here is crystalline ReNi2Pt at its relaxed geometry from Alexandria via LeMat-Bulk. Energies are from PBE-GGA.

Lattice parameters (Å, degrees): 2.6607 2.6607 7.4102 90.00 90.00 90.00
Last column: nearest neighbours and their distance in Å.
Sites, in units of the cell vectors:
Re (0.0000, 0.0000, 0.0000)  8 Ni 2.60, 4 Re 2.66
Ni (0.5000, 0.5000, 0.2426)  4 Re 2.60, 4 Ni 2.66, 4 Pt 2.68
Ni (0.5000, 0.5000, 0.7574)  4 Re 2.60, 4 Ni 2.66, 4 Pt 2.68
Pt (0.0000, 0.0000, 0.5000)  4 Pt 2.66, 8 Ni 2.68

Results
The calculation puts the total energy at -7.595 eV/atom. The density of states at the Fermi level comes out at 3.44 states/eV per cell. The calculation puts the energy of formation at -0.083 eV per atom.


# 4
Here is crystalline KY2Cu at its relaxed geometry from Alexandria via LeMat-Bulk. Energies are from PBE-GGA.

Lattice parameters (Å, degrees): 3.6777 3.6790 9.7690 90.00 90.14 90.00
Last column: nearest neighbours and their distance in Å.
Sites, in units of the cell vectors:
K (0.0000, 0.0000, 0.0000)  4 Cu 3.65-3.66, 4 K 3.68, 1 Y 3.81
Y (0.0003, 0.0000, 0.3903)  4 Cu 2.88
Y (0.5021, 0.5000, 0.6317)  8 Y 3.51-3.68, 1 Cu 3.60
Cu (0.4994, 0.5000, 0.2633)  4 Y 2.88

Results
The calculation puts the total energy at -4.365 eV/atom. The density of states at the Fermi level comes out at 4.09 states/eV per cell. The calculation puts the energy of formation at 0.165 eV per atom.


# 5
Here is crystalline Ac3ErTe4 at its relaxed geometry from Alexandria via LeMat-Bulk. Energies are from PBE-GGA.

Lattice parameters (Å, degrees): 8.0906 8.0906 4.5287 90.00 90.00 108.21
Last column: nearest neighbours and their distance in Å.
Sites, in units of the cell vectors:
Ac (0.0000, 0.0000, 0.0000)  6 Te 3.43
Ac (0.0000, 0.5000, 0.5000)  6 Te 3.28
Ac (0.5000, 0.0000, 0.5000)  6 Te 3.28
Er (0.5000, 0.5000, 0.0000)  6 Te 3.13
Te (0.2613, 0.7387, 0.0000)  1 Er 3.13, 5 Ac 3.28-3.43
Te (0.2717, 0.2717, 0.5000)  2 Er 3.13, 4 Ac 3.28-3.43
Te (0.7283, 0.7283, 0.5000)  2 Er 3.13, 4 Ac 3.28-3.43
Te (0.7387, 0.2613, 0.0000)  1 Er 3.13, 5 Ac 3.28-3.43

Results
The calculation puts the total energy at -5.077 eV/atom. The density of states at the Fermi level comes out at 5.11 states/eV per cell. Its energy relative to the elements, uncorrected is -134.6 kJ per mole of atoms.


# 6
Here is crystalline Na2ThTe4 at its relaxed geometry from Alexandria via LeMat-Bulk. Energies are from PBE-GGA.

Lattice parameters (Å, degrees): 8.9652 8.9652 8.9652 122.31 104.19 102.73
Last column: nearest neighbours and their distance in Å.
Sites, in units of the cell vectors:
Na (0.0000, 0.0000, 0.0000)  6 Te 3.12-3.42
Na (0.4522, 0.7022, 0.7500)  6 Te 3.30-3.48
Na (0.5000, 0.0000, 0.5000)  6 Te 3.12-3.42
Na (0.5478, 0.2978, 0.2500)  6 Te 3.30-3.48
Th (0.0000, 0.0000, 0.5000)  6 Te 3.11-3.24
Th (0.0000, 0.5000, 0.0000)  6 Te 3.11-3.24
Te (0.1458, 0.6995, 0.4463)  2 Th 3.11, 2 Na 3.35-3.42
Te (0.2468, 0.3005, 0.9463)  2 Th 3.11, 2 Na 3.35-3.42
Te (0.2815, 0.1960, 0.4144)  1 Te 2.84, 2 Na 3.12
Te (0.2815, 0.8671, 0.0856)  1 Te 2.84, 2 Na 3.12
Te (0.7185, 0.1329, 0.9144)  1 Te 2.84, 2 Na 3.12
Te (0.7185, 0.8040, 0.5856)  1 Te 2.84, 2 Na 3.12
Te (0.7532, 0.6995, 0.0537)  2 Th 3.11, 2 Na 3.35-3.42
Te (0.8542, 0.3005, 0.5537)  2 Th 3.11, 2 Na 3.35-3.42

Results
The calculation puts the total energy at -4.064 eV/atom. Its energy relative to the elements, uncorrected is -80.3 kJ per mole of atoms.


# 7
Here is crystalline MnSn2HN at its relaxed geometry from Alexandria via LeMat-Bulk. Energies are from PBE-GGA.

Lattice parameters (Å, degrees): 4.8272 4.8272 2.7689 90.00 90.00 90.00
Last column: nearest neighbours and their distance in Å.
Sites, in units of the cell vectors:
Mn (0.0000, 0.0000, 0.0000)  2 Mn 2.77, 8 Sn 2.78
Sn (0.0000, 0.5000, 0.5000)  2 N 2.41
Sn (0.5000, 0.0000, 0.5000)  2 N 2.41
H (0.5000, 0.5000, 0.0000)  2 N 1.38
N (0.5000, 0.5000, 0.5000)  2 H 1.38

Results
The calculation puts the total energy at -5.285 eV/atom. The density of states at the Fermi level comes out at 3.72 states/eV per cell.


# 8
Here is crystalline ReAgO2F at its relaxed geometry from Alexandria via LeMat-Bulk. Energies are from PBE-GGA.

Lattice parameters (Å, degrees): 3.8297 3.8297 4.5183 90.00 90.00 90.00
Last column: nearest neighbours and their distance in Å.
Sites, in units of the cell vectors:
Re (0.0000, 0.0000, 0.0000)  4 O 1.91
Ag (0.5000, 0.5000, 0.5000)  4 F 2.71, 8 O 2.96
O (0.0000, 0.5000, 0.0000)  2 Re 1.91
O (0.5000, 0.0000, 0.0000)  2 Re 1.91
F (0.0000, 0.0000, 0.5000)  2 Re 2.26

Results
The calculation puts the total energy at -6.395 eV/atom. The density of states at the Fermi level comes out at 0.86 states/eV per cell. Its energy relative to the elements, uncorrected is -94.3 kJ per mole of atoms.


# 9
Here is crystalline ZnCuNi14 at its relaxed geometry from Alexandria via LeMat-Bulk. Energies are from PBE-GGA.

Lattice parameters (Å, degrees): 8.1894 5.0001 5.0001 59.96 90.00 90.00
Last column: nearest neighbours and their distance in Å.
Sites, in units of the cell vectors:
Zn (0.0000, 0.0000, 0.0000)  10 Ni 2.50-2.53, 2 Cu 2.50
Cu (0.0000, 0.5001, 0.5001)  10 Ni 2.50-2.53, 2 Zn 2.50
Ni (0.0000, 0.0001, 0.5007)  8 Ni 2.50-2.52, 2 Zn 2.50, 2 Cu 2.50
Ni (0.0000, 0.5007, 0.0001)  8 Ni 2.50-2.52, 2 Zn 2.50, 2 Cu 2.50
Ni (0.2510, 0.6673, 0.6673)  11 Ni 2.49-2.51, 1 Cu 2.51
Ni (0.2517, 0.1677, 0.1677)  11 Ni 2.48-2.52, 1 Zn 2.52
Ni (0.2538, 0.1661, 0.6650)  10 Ni 2.48-2.52, 1 Cu 2.53, 1 Zn 2.53
Ni (0.2538, 0.6650, 0.1661)  10 Ni 2.48-2.52, 1 Cu 2.53, 1 Zn 2.53
Ni (0.5000, 0.3330, 0.3330)  12 Ni 2.48-2.50
Ni (0.5000, 0.3333, 0.8333)  12 Ni 2.49-2.50
Ni (0.5000, 0.8333, 0.3333)  12 Ni 2.49-2.50
Ni (0.5000, 0.8331, 0.8331)  12 Ni 2.48-2.50
Ni (0.7462, 0.1661, 0.6650)  10 Ni 2.48-2.52, 1 Cu 2.53, 1 Zn 2.53
Ni (0.7462, 0.6650, 0.1661)  10 Ni 2.48-2.52, 1 Cu 2.53, 1 Zn 2.53
Ni (0.7483, 0.1677, 0.1677)  11 Ni 2.48-2.52, 1 Zn 2.52
Ni (0.7490, 0.6673, 0.6673)  11 Ni 2.49-2.51, 1 Cu 2.51

Results
The calculation puts the total energy at -5.405 eV/atom. The density of states at the Fermi level comes out at 24.56 states/eV per cell. The calculation puts the energy of formation at -0.011 eV per atom.


# 10
Here is crystalline NaBiI2O at its relaxed geometry from Alexandria via LeMat-Bulk. Energies are from PBE-GGA.

Lattice parameters (Å, degrees): 5.7881 5.7881 4.2006 90.00 90.00 90.00
Last column: nearest neighbours and their distance in Å.
Sites, in units of the cell vectors:
Na (0.0000, 0.0000, 0.0000)  2 O 2.10
Bi (0.5000, 0.5000, 0.5000)  8 I 3.58
I (0.0000, 0.5000, 0.0000)  2 Na 2.89
I (0.5000, 0.0000, 0.0000)  2 Na 2.89
O (0.0000, 0.0000, 0.5000)  2 Na 2.10

Results
The calculation puts the total energy at -2.568 eV/atom. The density of states at the Fermi level comes out at 11.47 states/eV per cell. Its energy relative to the elements, uncorrected is 8.1 kJ per mole of atoms.


# 11
Here is crystalline LaAl2P at its relaxed geometry from Alexandria via LeMat-Bulk. Energies are from PBE-GGA.

Lattice parameters (Å, degrees): 4.5015 4.5015 4.6043 90.00 90.00 100.12
Last column: nearest neighbours and their distance in Å.
Sites, in units of the cell vectors:
La (0.0000, 0.0000, 0.0000)  2 P 2.89, 4 Al 3.16
Al (0.3140, 0.6860, 0.5000)  1 Al 2.57, 2 P 2.64
Al (0.6860, 0.3140, 0.5000)  1 Al 2.57, 2 P 2.64
P (0.5000, 0.5000, 0.0000)  4 Al 2.64, 2 La 2.89

Results
The calculation puts the total energy at -4.886 eV/atom. The density of states at the Fermi level comes out at 1.37 states/eV per cell. The calculation puts the energy of formation at -0.431 eV per atom.


# 12
Here is crystalline SrTlPb6 at its relaxed geometry from Alexandria via LeMat-Bulk. Energies are from PBE-GGA.

Lattice parameters (Å, degrees): 5.0112 5.0112 10.1871 90.00 90.00 90.00
Last column: nearest neighbours and their distance in Å.
Sites, in units of the cell vectors:
Sr (0.0000, 0.0000, 0.0000)  12 Pb 3.54-3.60
Tl (0.0000, 0.0000, 0.5000)  12 Pb 3.54
Pb (0.0000, 0.5000, 0.2542)  2 Tl 3.54, 8 Pb 3.54-3.60, 2 Sr 3.60
Pb (0.0000, 0.5000, 0.7458)  2 Tl 3.54, 8 Pb 3.54-3.60, 2 Sr 3.60
Pb (0.5000, 0.0000, 0.2542)  2 Tl 3.54, 8 Pb 3.54-3.60, 2 Sr 3.60
Pb (0.5000, 0.0000, 0.7458)  2 Tl 3.54, 8 Pb 3.54-3.60, 2 Sr 3.60
Pb (0.5000, 0.5000, 0.0000)  4 Sr 3.54, 8 Pb 3.60
Pb (0.5000, 0.5000, 0.5000)  8 Pb 3.54, 4 Tl 3.54

Results
The calculation puts the total energy at -3.424 eV/atom. The density of states at the Fermi level comes out at 7.04 states/eV per cell. The calculation puts the energy of formation at -0.137 eV per atom.


Copy entry 1 word for word.
Here is crystalline NaPm2Dy3Se6 at its relaxed geometry from Alexandria via LeMat-Bulk. Energies are from PBE-GGA.

Lattice parameters (Å, degrees): 9.2804 9.2804 8.3296 103.34 103.34 25.60
Last column: nearest neighbours and their distance in Å.
Sites, in units of the cell vectors:
Na (0.0000, 0.0000, 0.0000)  6 Se 2.96
Pm (0.3295, 0.3295, 0.6568)  6 Se 2.94-3.02
Pm (0.6705, 0.6705, 0.3432)  6 Se 2.94-3.02
Dy (0.0000, 0.0000, 0.5000)  6 Se 2.85-2.90
Dy (0.3340, 0.3340, 0.1727)  6 Se 2.84-2.92
Dy (0.6660, 0.6660, 0.8273)  6 Se 2.84-2.92
Se (0.1621, 0.1621, 0.5901)  3 Dy 2.84-2.85, 3 Pm 2.94-2.95
Se (0.1682, 0.1682, 0.0763)  3 Dy 2.91-2.92, 1 Na 2.96, 2 Pm 3.02
Se (0.4991, 0.4991, 0.2547)  3 Dy 2.90, 2 Na 2.96, 1 Pm 3.01
Se (0.5009, 0.5009, 0.7453)  3 Dy 2.90, 2 Na 2.96, 1 Pm 3.01
Se (0.8318, 0.8318, 0.9237)  3 Dy 2.91-2.92, 1 Na 2.96, 2 Pm 3.02
Se (0.8379, 0.8379, 0.4099)  3 Dy 2.84-2.85, 3 Pm 2.94-2.95

Results
The calculation puts the total energy at -5.568 eV/atom. The density of states at the Fermi level comes out at 3.53 states/eV per cell. Its energy relative to the elements, uncorrected is -171.1 kJ per mole of atoms.